## P
Ac2Nd6Sm | PBE | optimized geometry

Unit cell a=3.8008 b=10.4123 c=10.4123 alpha=125.27 beta=85.62 gamma=85.62
With the nearest neighbours (Å) after each atom.
Atoms (fractional coordinates):
Ac 0.5000 0.8325 0.1675  6 Nd 3.62-3.74, 2 Sm 3.63, 2 Ac 3.80
Ac 0.5000 0.1675 0.8325  6 Nd 3.62-3.74, 2 Sm 3.63, 2 Ac 3.80
Nd 0.8442 0.5022 0.1733  7 Nd 3.50-3.80, 3 Ac 3.62-3.74
Nd 0.1558 0.4978 0.8267  7 Nd 3.50-3.80, 3 Ac 3.62-3.74
Nd 0.6544 0.6690 0.6690  8 Nd 3.58-3.81, 2 Sm 3.63-3.69
Nd 0.8442 0.1733 0.5022  7 Nd 3.50-3.80, 3 Ac 3.62-3.74
Nd 0.1558 0.8267 0.4978  7 Nd 3.50-3.80, 3 Ac 3.62-3.74
Nd 0.3456 0.3310 0.3310  8 Nd 3.58-3.81, 2 Sm 3.63-3.69
Sm 0.0000 0.0000 0.0000  4 Nd 3.63-3.69, 4 Ac 3.63, 2 Sm 3.80

***

## Q
Ac2Nd6Sm | PBE | optimized geometry

Unit cell a=9.3795 b=9.3402 c=9.3795 alpha=67.08 beta=66.46 gamma=67.08
With the nearest neighbours (Å) after each atom.
Atoms (fractional coordinates):
Ac 0.3260 0.6777 0.4892  6 Nd 3.49-3.87, 2 Ac 3.64-3.73
Ac 0.5108 0.8223 0.6740  6 Nd 3.49-3.87, 2 Ac 3.64-3.73
Ac 0.6740 0.3223 0.5108  6 Nd 3.49-3.87, 2 Ac 3.64-3.73
Ac 0.4892 0.1777 0.3260  6 Nd 3.49-3.87, 2 Ac 3.64-3.73
Nd 0.1500 0.5127 0.3282  3 Nd 3.32-3.56, 2 Ac 3.49-3.63, 1 Sm 3.72
Nd 0.6718 0.9873 0.8500  3 Nd 3.32-3.56, 2 Ac 3.49-3.63, 1 Sm 3.72
Nd 0.8500 0.4873 0.6718  3 Nd 3.32-3.56, 2 Ac 3.49-3.63, 1 Sm 3.72
Nd 0.3282 0.0127 0.1500  3 Nd 3.32-3.56, 2 Ac 3.49-3.63, 1 Sm 3.72
Nd 0.0811 0.0819 0.5889  1 Sm 3.60, 9 Nd 3.64-4.00, 4 Ac 3.80-4.03
Nd 0.4111 0.4181 0.9189  1 Sm 3.60, 9 Nd 3.64-4.00, 4 Ac 3.80-4.03
Nd 0.9189 0.9181 0.4111  1 Sm 3.60, 9 Nd 3.64-4.00, 4 Ac 3.80-4.03
Nd 0.5889 0.5819 0.0811  1 Sm 3.60, 9 Nd 3.64-4.00, 4 Ac 3.80-4.03
Nd 0.1600 0.8347 0.0041  4 Nd 3.34-3.60, 1 Ac 3.50
Nd 0.9959 0.6653 0.8400  4 Nd 3.34-3.60, 1 Ac 3.50
Nd 0.8400 0.1653 0.9959  4 Nd 3.34-3.60, 1 Ac 3.50
Nd 0.0041 0.3347 0.1600  4 Nd 3.34-3.60, 1 Ac 3.50
Sm 0.7548 0.7500 0.2452  8 Nd 3.60-3.87, 4 Ac 3.93-3.98
Sm 0.2452 0.2500 0.7548  8 Nd 3.60-3.87, 4 Ac 3.93-3.98

***

Which one is most stable, and which one is least stable? Q is the most stable of them, while P is the least stable.

***

## P
Ac3NdSm | PBE | optimized geometry

Unit cell a=3.8818 b=10.8542 c=10.1878 alpha=75.19 beta=100.98 gamma=90.00
With the nearest neighbours (Å) after each atom.
Atoms (fractional coordinates):
Ac 0.9982 0.7375 0.9963  4 Nd 3.74-3.85, 1 Sm 3.85, 7 Ac 3.88-4.02
Ac 0.0018 0.2625 0.0037  4 Nd 3.74-3.85, 1 Sm 3.85, 7 Ac 3.88-4.02
Ac 0.3981 0.0451 0.7962  3 Sm 3.78-3.81, 9 Ac 3.88-4.02
Ac 0.6019 0.9549 0.2038  3 Sm 3.78-3.81, 9 Ac 3.88-4.02
Ac 0.2012 0.6519 0.4024  3 Nd 3.76-3.85, 2 Sm 3.80, 7 Ac 3.88-3.92
Ac 0.7988 0.3481 0.5976  3 Nd 3.76-3.85, 2 Sm 3.80, 7 Ac 3.88-3.92
Nd 0.6040 0.4455 0.2079  7 Ac 3.74-3.85, 2 Sm 3.82, 3 Nd 3.88-4.02
Nd 0.3960 0.5545 0.7921  7 Ac 3.74-3.85, 2 Sm 3.82, 3 Nd 3.88-4.02
Sm 0.7992 0.8506 0.5985  6 Ac 3.78-3.85, 2 Nd 3.82, 4 Sm 3.85-3.88
Sm 0.2008 0.1494 0.4015  6 Ac 3.78-3.85, 2 Nd 3.82, 4 Sm 3.85-3.88

***

## Q
Ac3NdSm | PBE | optimized geometry

Unit cell a=7.5416 b=10.1143 c=9.3843 alpha=136.33 beta=90.00 gamma=111.89
With the nearest neighbours (Å) after each atom.
Atoms (fractional coordinates):
Ac 0.0955 0.6913 0.3088  6 Ac 3.75-3.88, 3 Nd 3.89-3.93, 3 Sm 3.89-3.94
Ac 0.7499 0.4997 0.5002  2 Sm 3.70-3.71, 2 Nd 3.71, 6 Ac 3.77-3.88
Ac 0.5958 0.6913 0.3088  6 Ac 3.75-3.88, 3 Nd 3.89-3.93, 3 Sm 3.89-3.94
Ac 0.4042 0.3087 0.6912  6 Ac 3.75-3.88, 3 Nd 3.89-3.93, 3 Sm 3.89-3.94
Ac 0.9045 0.3087 0.6912  6 Ac 3.75-3.88, 3 Nd 3.89-3.93, 3 Sm 3.89-3.94
Ac 0.2501 0.5003 0.4998  2 Sm 3.70-3.71, 2 Nd 3.71, 6 Ac 3.77-3.88
Nd 0.5571 0.1141 0.8867  8 Ac 3.71-3.93, 2 Sm 3.77, 1 Nd 4.03
Nd 0.4429 0.8859 0.1133  8 Ac 3.71-3.93, 2 Sm 3.77, 1 Nd 4.03
Sm 0.0566 0.1133 0.8866  8 Ac 3.70-3.94, 2 Nd 3.77, 1 Sm 4.01
Sm 0.9434 0.8867 0.1134  8 Ac 3.70-3.94, 2 Nd 3.77, 1 Sm 4.01

***

Which one is most stable, and which one is least stable? P is the most stable of them, while Q is the least stable.

***

## P
Ac2Nd8Sm3 | PBE | optimized geometry

Unit cell a=6.7412 b=6.7412 c=13.1623 alpha=75.16 beta=75.16 gamma=60.00
With the nearest neighbours (Å) after each atom.
Atoms (fractional coordinates):
Ac 0.6399 0.6399 0.0804  1 Nd 3.29
Ac 0.3601 0.3601 0.9196  1 Nd 3.29
Nd 0.7269 0.7269 0.8192  1 Sm 3.21, 1 Ac 3.29
Nd 0.2731 0.2731 0.1808  1 Sm 3.21, 1 Ac 3.29
Nd 0.2213 0.7205 0.3378  4 Nd 3.37-3.38, 3 Sm 3.44-3.59
Nd 0.7205 0.2213 0.3378  4 Nd 3.37-3.38, 3 Sm 3.44-3.59
Nd 0.7205 0.7205 0.3378  4 Nd 3.37-3.38, 3 Sm 3.44-3.59
Nd 0.2795 0.7787 0.6622  4 Nd 3.37-3.38, 3 Sm 3.44-3.59
Nd 0.7787 0.2795 0.6622  4 Nd 3.37-3.38, 3 Sm 3.44-3.59
Nd 0.2795 0.2795 0.6622  4 Nd 3.37-3.38, 3 Sm 3.44-3.59
Sm 0.0000 0.0000 0.0000  6 Ac 4.02
Sm 0.8122 0.8122 0.5635  10 Nd 3.21-3.59
Sm 0.1878 0.1878 0.4365  10 Nd 3.21-3.59

***

## Q
Ac2Nd8Sm3 | PBE | optimized geometry

Unit cell a=6.3692 b=9.0692 c=9.0692 alpha=83.55 beta=72.76 gamma=72.76
With the nearest neighbours (Å) after each atom.
Atoms (fractional coordinates):
Ac 0.3536 0.2973 0.2973  9 Nd 3.42-3.79, 1 Sm 3.75
Ac 0.6464 0.7027 0.7027  9 Nd 3.42-3.79, 1 Sm 3.75
Nd 0.2296 0.5699 0.5699  4 Nd 3.20-3.50, 2 Ac 3.42-3.45
Nd 0.7704 0.4301 0.4301  4 Nd 3.20-3.50, 2 Ac 3.42-3.45
Nd 0.9575 0.1495 0.1495  3 Sm 3.24-3.56, 1 Nd 3.50, 1 Ac 3.56
Nd 0.0425 0.8505 0.8505  3 Sm 3.24-3.56, 1 Nd 3.50, 1 Ac 3.56
Nd 0.6760 0.5783 0.0849  2 Nd 3.41-3.72, 2 Ac 3.56-3.75, 2 Sm 3.63-3.71
Nd 0.6760 0.0849 0.5783  2 Nd 3.41-3.72, 2 Ac 3.56-3.75, 2 Sm 3.63-3.71
Nd 0.3240 0.9151 0.4217  2 Nd 3.41-3.72, 2 Ac 3.56-3.75, 2 Sm 3.63-3.71
Nd 0.3240 0.4217 0.9151  2 Nd 3.41-3.72, 2 Ac 3.56-3.75, 2 Sm 3.63-3.71
Sm 0.5000 0.0000 0.0000  2 Nd 3.24
Sm 0.0000 0.2473 0.7527  6 Nd 3.56-3.67
Sm 0.0000 0.7527 0.2473  6 Nd 3.56-3.67

***

Which one is most stable, and which one is least stable? Q is the most stable of them, while P is the least stable.

***

## P
AcNdSm4 | PBE | optimized geometry

Unit cell a=10.2720 b=9.0942 c=7.6556 alpha=126.44 beta=120.82 gamma=90.00
With the nearest neighbours (Å) after each atom.
Atoms (fractional coordinates):
Ac 0.6977 0.5161 0.0322  7 Sm 3.59-3.97, 2 Nd 3.61-3.76, 1 Ac 3.82
Ac 0.3023 0.4839 0.9678  7 Sm 3.59-3.97, 2 Nd 3.61-3.76, 1 Ac 3.82
Nd 0.2567 0.1680 0.3360  7 Sm 3.36-3.55, 2 Ac 3.61-3.76
Nd 0.7433 0.8320 0.6640  7 Sm 3.36-3.55, 2 Ac 3.61-3.76
Sm 0.8744 0.1613 0.3225  1 Nd 3.36, 1 Ac 3.59, 2 Sm 3.60
Sm 0.5604 0.3360 0.3221  3 Sm 3.18-3.42, 2 Nd 3.42-3.55
Sm 0.0000 0.3072 0.0000  2 Nd 3.48, 3 Sm 3.51-3.72, 2 Ac 3.68
Sm 0.4396 0.0138 0.6779  3 Sm 3.18-3.42, 2 Nd 3.42-3.55
Sm 0.1256 0.8387 0.6775  1 Nd 3.36, 1 Ac 3.59, 2 Sm 3.60
Sm 0.4396 0.6640 0.6779  3 Sm 3.18-3.42, 2 Nd 3.42-3.55
Sm 0.0000 0.6928 0.0000  2 Nd 3.48, 3 Sm 3.51-3.72, 2 Ac 3.68
Sm 0.5604 0.9862 0.3221  3 Sm 3.18-3.42, 2 Nd 3.42-3.55

***

## Q
AcNdSm4 | PBE | optimized geometry

Unit cell a=6.7758 b=6.7758 c=6.7758 alpha=60.00 beta=60.00 gamma=60.00
With the nearest neighbours (Å) after each atom.
Atoms (fractional coordinates):
Ac 0.2500 0.2500 0.2500  12 Sm 3.98, 4 Nd 4.15
Nd 0.0000 0.0000 0.0000  12 Sm 3.97, 4 Ac 4.15
Sm 0.6259 0.6259 0.1222  6 Sm 3.36-3.41
Sm 0.6259 0.1222 0.6259  6 Sm 3.36-3.41
Sm 0.6259 0.6259 0.6259  6 Sm 3.36-3.41
Sm 0.1222 0.6259 0.6259  6 Sm 3.36-3.41

***

## R
AcNdSm4 | PBE | optimized geometry

Unit cell a=6.6852 b=6.6852 c=11.3375 alpha=90.00 beta=90.00 gamma=120.20
With the nearest neighbours (Å) after each atom.
Atoms (fractional coordinates):
Ac 0.0000 0.0000 0.0000  4 Sm 3.46, 2 Nd 3.47
Ac 0.0000 0.0000 0.5000  4 Sm 3.46, 2 Nd 3.47
Nd 0.1725 0.8275 0.7500  4 Sm 3.22-3.47, 2 Ac 3.47
Nd 0.8275 0.1725 0.2500  4 Sm 3.22-3.47, 2 Ac 3.47
Sm 0.6645 0.3355 0.9234  10 Sm 3.87-4.25, 3 Nd 3.87-4.16, 3 Ac 3.94-3.98
Sm 0.3355 0.6645 0.4234  10 Sm 3.87-4.25, 3 Nd 3.87-4.16, 3 Ac 3.94-3.98
Sm 0.3355 0.6645 0.0766  10 Sm 3.87-4.25, 3 Nd 3.87-4.16, 3 Ac 3.94-3.98
Sm 0.6645 0.3355 0.5766  10 Sm 3.87-4.25, 3 Nd 3.87-4.16, 3 Ac 3.94-3.98
Sm 0.3449 0.1707 0.2500  2 Nd 3.22-3.47, 2 Sm 3.23-3.44, 2 Ac 3.46
Sm 0.6551 0.8293 0.7500  2 Nd 3.22-3.47, 2 Sm 3.23-3.44, 2 Ac 3.46
Sm 0.1707 0.3449 0.7500  2 Nd 3.22-3.47, 2 Sm 3.23-3.44, 2 Ac 3.46
Sm 0.8293 0.6551 0.2500  2 Nd 3.22-3.47, 2 Sm 3.23-3.44, 2 Ac 3.46

***

Which one is most stable, and which one is least stable? P is the most stable of them, while R is the least stable.